Record 1
This record from the Alexandria database describes a relaxed structure of NdScS2. The functional is PBE.

a = 3.8027 Å, b = 3.8027 Å, c = 7.0412 Å
α = 74.33°, β = 74.33°, γ = 60.00°
Fractional positions:
Sc 0.6724 0.6724 0.9829
S 0.0724 0.0724 0.7827
Nd 0.4954 0.4954 0.5139
S 0.2598 0.2598 0.2205

- relative energy among the computed polymorphs (meV per atom) = 16.2
- energy relative to the elements, uncorrected (eV per atom) = -1.9128

***

Record 2
This record from the Alexandria database describes a relaxed structure of NdSc3S6. The functional is PBE.

a = 3.8154 Å, b = 10.6827 Å, c = 10.9029 Å
α = 109.39°, β = 90.00°, γ = 90.00°
Fractional positions:
S 0.2500 0.5230 0.3876
S 0.7500 0.1250 0.4655
Sc 0.2500 0.8394 0.9102
Sc 0.2500 0.5532 0.1641
S 0.7500 0.3909 0.0559
Sc 0.2500 0.3216 0.5008
Sc 0.7500 0.4468 0.8359
Nd 0.7500 0.0525 0.7001
S 0.2500 0.2746 0.7322
S 0.2500 0.2035 0.2487
S 0.7500 0.7965 0.7513
S 0.7500 0.4770 0.6124
Sc 0.7500 0.1606 0.0898
S 0.7500 0.9184 0.0873
S 0.2500 0.8750 0.5345
S 0.2500 0.6091 0.9441
Sc 0.7500 0.6784 0.4992
S 0.7500 0.7254 0.2678
S 0.2500 0.0816 0.9127
Nd 0.2500 0.9475 0.2999

- energy relative to the elements, uncorrected (eV per atom) = -1.9404